Entry 1:
BeTcCl3: optimized geometry, PBEsol.

- DFT total energy: -4.06 eV/atom
- Density of states at the Fermi level: 3.573 states/eV per cell
- Theoretical density: 4.0 g/cm³
- Volume: 17.5 Å³/atom
- E_form (uncorrected): 199 meV/atom

abc: 4.4394 4.4394 4.4394
angles: 90.00 90.00 90.00
Closest atoms and distances in Å follow each position.
Space group Pm-3m (No. 221)
Unique sites:
1 Be 0.0000 0.0000 0.0000 x1  6 Cl 2.22
2 Tc 0.5000 0.5000 0.5000 x1  12 Cl 3.14
3 Cl 0.0000 0.0000 0.5000 x3  2 Be 2.22

=====

Entry 2:
K2TlAu2: optimized geometry, PBEsol.

- DFT total energy: -2.70 eV/atom
- Density of states at the Fermi level: 3.207 states/eV per cell
- Theoretical density: 7.9 g/cm³
- Volume: 28.4 Å³/atom
- ΔE_f: -151 meV/atom

abc: 7.5810 7.5810 4.9423
angles: 90.00 90.00 90.00
Closest atoms and distances in Å follow each position.
Space group P4/mbm (No. 127)
Unique sites:
1 K 0.1695 0.3305 0.0000 x4  6 Au 3.27-3.37, 1 K 3.63
2 Tl 0.0000 0.0000 0.5000 x2  4 Au 2.97
3 Au 0.1303 0.6303 0.5000 x4  1 Au 2.79, 2 Tl 2.97

=====

Entry 3:
BeHg2Br: optimized geometry, PBEsol.

- DFT total energy: -1.69 eV/atom
- Density of states at the Fermi level: 3.009 states/eV per cell
- Theoretical density: 8.9 g/cm³
- Volume: 22.8 Å³/atom
- E_form (uncorrected): 63 meV/atom

abc: 3.1189 6.1270 9.5522
angles: 90.00 90.00 90.00
Closest atoms and distances in Å follow each position.
Space group Imm2 (No. 44)
Unique sites:
1 Be 0.0000 0.0000 0.0000 x2  2 Br 2.18
2 Hg 0.0000 0.0000 0.5026 x2  4 Hg 3.12-3.21, 2 Br 3.41, 4 Be 3.44
3 Hg 0.0000 0.5000 0.2963 x2  2 Be 2.49
4 Br 0.0000 0.5000 0.6598 x2  2 Be 2.18

=====

Entry 4:
SrZr2In: optimized geometry, PBEsol.

- DFT total energy: -5.51 eV/atom
- Density of states at the Fermi level: 12.324 states/eV per cell
- Theoretical density: 6.2 g/cm³
- Volume: 25.6 Å³/atom
- ΔE_f: 239 meV/atom

abc: 3.3386 5.5829 10.9749
angles: 90.00 90.00 90.00
Closest atoms and distances in Å follow each position.
Space group Imm2 (No. 44)
Unique sites:
1 Sr 0.0000 0.0000 0.0000 x2  6 Zr 3.25-3.47, 2 In 3.32, 2 Sr 3.34
2 Zr 0.0000 0.0000 0.5060 x2  4 Zr 3.01-3.34, 2 In 3.05, 4 Sr 3.25
3 Zr 0.0000 0.5000 0.7775 x2  4 Zr 3.01-3.34, 4 In 3.28
4 In 0.0000 0.5000 0.2388 x2  6 Zr 3.05-3.28, 2 Sr 3.32, 2 In 3.34

=====

Entry 5:
Tl2CuAs: optimized geometry, PBEsol.

- DFT total energy: -3.66 eV/atom
- Density of states at the Fermi level: 3.313 states/eV per cell
- Theoretical density: 9.4 g/cm³
- Volume: 24.3 Å³/atom
- ΔE_f: 11 meV/atom

abc: 4.1054 4.1054 19.9626
angles: 90.00 90.00 120.00
Closest atoms and distances in Å follow each position.
Space group R3m (No. 160, hexagonal axes)
Unique sites:
1 Tl 0.0000 0.0000 0.0000 x3  3 As 3.12, 3 Cu 3.17
2 Tl 0.0000 0.0000 0.2045 x3  3 Cu 3.09, 3 As 3.14
3 Cu 0.0000 0.0000 0.4386 x3  3 As 2.37
4 As 0.0000 0.0000 0.7681 x3  3 Cu 2.37

=====

Entry 6:
BeH4NF3: optimized geometry, PBEsol.

- DFT total energy: -5.27 eV/atom
- Density of states at the Fermi level: 0.000 states/eV per cell
- Theoretical density: 1.7 g/cm³
- Volume: 9.3 Å³/atom

abc: 4.5499 5.6043 13.0680
angles: 90.00 90.00 90.00
Closest atoms and distances in Å follow each position.
Space group P2_12_12_1 (No. 19)
Unique sites:
1 Be 0.1773 0.1851 0.0623 x4  4 F 1.52-1.59
2 H 0.0213 0.7089 0.8822 x4  1 N 1.05
3 H 0.1022 0.2665 0.3846 x4  1 N 1.04
4 H 0.1778 0.9754 0.8622 x4  1 N 1.03
5 H 0.2121 0.7573 0.7713 x4  1 N 1.05
6 N 0.2046 0.7948 0.8503 x4  4 H 1.03-1.05
7 F 0.1593 0.7404 0.4596 x4  2 Be 1.59
8 F 0.2091 0.9139 0.0778 x4  1 Be 1.54, 2 H 1.66-1.71
9 F 0.2166 0.6693 0.6533 x4  1 Be 1.52, 1 H 1.62

=====

Q: density of states at the Fermi level of number 4 (SrZr2In)?
A: 12.324 states/eV per cell

=====

Q: Among the records above, which one has the lowest theoretical density?
A: BeH4NF3